First-principles (PBE) data for a relaxed structure of La2FeNiN, as listed in the Alexandria database.

Lattice parameters (Å, degrees): 5.177 5.177 3.574 90.00 90.00 90.00
Element x y z (fractional)
La 0.000 0.500 0.000
La 0.500 0.000 0.000
Fe 0.000 0.000 0.500
Ni 0.500 0.500 0.500
N 0.000 0.000 0.000

Summary:
E_tot: -7.044 eV per atom